No. 1
TlCu2Au: optimized geometry, GGA-PBEsol.

Its raw total energy is -3.647 eV per atom. As for the density of states at the Fermi level: 1.2 states/eV per cell. The crystal system is monoclinic. The value obtained for the volume is 15.95 Å³/atom.

Cell: 3.0465 4.1424 5.2199 Å, 90.00 104.38 90.00°
Closest atoms and distances in Å follow each position.
Space group Pm (No. 6)
Asymmetric unit:
Tl  0.0000  0.0000  0.0000 x1  7 Cu 2.66-2.85
Cu  0.2970  0.0000  0.5245 x1  2 Cu 2.49, 1 Tl 2.66, 4 Au 2.69-2.70
Cu  0.4097  0.5000  0.7985 x1  2 Cu 2.49, 2 Au 2.67, 4 Tl 2.76-2.77
Au  0.7250  0.5000  0.3642 x1  7 Cu 2.67-2.87



No. 2
TlCu2Au: optimized geometry, GGA-PBEsol.

Its raw total energy is -3.585 eV per atom. As for the density of states at the Fermi level: 4.2 states/eV per cell. The crystal system is cubic. The value obtained for the volume is 15.92 Å³/atom.

Cell: 6.3389 6.3389 6.3389 Å, 90.00 90.00 90.00°
Closest atoms and distances in Å follow each position.
Space group F-43m (No. 216)
Asymmetric unit:
Tl  0.0000  0.0000  0.0000 x4  4 Cu 2.74, 4 Au 2.74
Cu  0.0000  0.0000  0.5000 x4  4 Cu 2.74, 4 Au 2.74
Cu  0.2500  0.2500  0.7500 x4  4 Tl 2.74, 4 Cu 2.74
Au  0.2500  0.2500  0.2500 x4  4 Tl 2.74, 4 Cu 2.74



No. 3
TlCuAu2: optimized geometry, GGA-PBEsol.

Its raw total energy is -3.580 eV per atom. As for the density of states at the Fermi level: 2.3 states/eV per cell. The crystal system is tetragonal. The value obtained for the volume is 17.28 Å³/atom.

Cell: 4.0652 4.0652 8.3651 Å, 90.00 90.00 90.00°
Closest atoms and distances in Å follow each position.
Space group I-4m2 (No. 119)
Asymmetric unit:
Tl  0.0000  0.0000  0.0000 x2  8 Au 2.87-2.92, 4 Cu 2.92
Cu  0.0000  0.5000  0.7500 x2  8 Au 2.87-2.92, 4 Tl 2.92
Au  0.0000  0.0000  0.5000 x2  4 Tl 2.87, 4 Cu 2.92, 4 Au 2.92
Au  0.0000  0.5000  0.2500 x2  4 Cu 2.87, 4 Tl 2.92, 4 Au 2.92



No. 4
CuWAu2: optimized geometry, GGA-PBEsol.

Its raw total energy is -6.262 eV per atom. As for the density of states at the Fermi level: 6.1 states/eV per cell. The crystal system is trigonal. The value obtained for the volume is 15.29 Å³/atom.

Cell: 2.8125 2.8125 26.7833 Å, 90.00 90.00 120.00°
Closest atoms and distances in Å follow each position.
Space group R-3m (No. 166, hexagonal axes)
Asymmetric unit:
Cu  0.0000  0.0000  0.0000 x3  6 Au 2.68, 6 Cu 2.81
W  0.0000  0.0000  0.5000 x3  6 W 2.81, 6 Au 2.84
Au  0.0000  0.0000  0.2537 x6  3 Cu 2.68, 6 Au 2.81, 3 W 2.84



No. 5
CuWAu2: optimized geometry, GGA-PBEsol.

Its raw total energy is -6.051 eV per atom. As for the density of states at the Fermi level: 6.1 states/eV per cell. The crystal system is tetragonal. The value obtained for the volume is 15.33 Å³/atom.

Cell: 4.0853 4.0853 7.3492 Å, 90.00 90.00 90.00°
Closest atoms and distances in Å follow each position.
Space group I4/mmm (No. 139)
Asymmetric unit:
Cu  0.0000  0.0000  0.0000 x2  8 Au 2.75, 4 W 2.89
W  0.0000  0.0000  0.5000 x2  8 Au 2.75, 4 Cu 2.89
Au  0.0000  0.5000  0.2500 x4  4 W 2.75, 4 Cu 2.75, 4 Au 2.89



No. 6
Y2CuAu: optimized geometry, GGA-PBEsol.

Its raw total energy is -6.021 eV per atom. As for the density of states at the Fermi level: 2.4 states/eV per cell. The crystal system is tetragonal. The value obtained for the volume is 21.30 Å³/atom.

Cell: 4.9257 4.9257 3.5117 Å, 90.00 90.00 90.00°
Closest atoms and distances in Å follow each position.
Space group P4/mmm (No. 123)
Asymmetric unit:
Y  0.0000  0.5000  0.0000 x2  4 Cu 3.02, 4 Au 3.02
Cu  0.0000  0.0000  0.5000 x1  8 Y 3.02
Au  0.5000  0.5000  0.5000 x1  8 Y 3.02



No. 7
Y2Cu2Au: optimized geometry, GGA-PBEsol.

Its raw total energy is -5.684 eV per atom. As for the density of states at the Fermi level: 8.3 states/eV per cell. The crystal system is tetragonal. The value obtained for the volume is 19.16 Å³/atom.

Cell: 7.1317 7.1317 3.7668 Å, 90.00 90.00 90.00°
Closest atoms and distances in Å follow each position.
Space group P4/mbm (No. 127)
Asymmetric unit:
Y  0.1802  0.3198  0.0000 x4  6 Cu 2.76-2.88
Cu  0.1194  0.6194  0.5000 x4  1 Cu 2.41
Au  0.0000  0.0000  0.5000 x2  4 Cu 2.84



No. 8
Y2CuAu: optimized geometry, GGA-PBEsol.

Its raw total energy is -5.786 eV per atom. As for the density of states at the Fermi level: 10.0 states/eV per cell. The crystal system is tetragonal. The value obtained for the volume is 20.87 Å³/atom.

Cell: 4.1588 4.1588 9.6512 Å, 90.00 90.00 90.00°
Closest atoms and distances in Å follow each position.
Space group I-4m2 (No. 119)
Asymmetric unit:
Y  0.0000  0.0000  0.0000 x2  4 Au 2.94, 4 Cu 3.19, 4 Y 3.19
Y  0.0000  0.5000  0.2500 x2  4 Cu 2.94, 4 Y 3.19, 4 Au 3.19
Cu  0.0000  0.5000  0.7500 x2  8 Y 2.94-3.19, 4 Au 3.19
Au  0.0000  0.0000  0.5000 x2  8 Y 2.94-3.19, 4 Cu 3.19



No. 9
Y2CuAu: optimized geometry, GGA-PBEsol.

Its raw total energy is -6.044 eV per atom. As for the density of states at the Fermi level: 2.9 states/eV per cell. The crystal system is monoclinic. The value obtained for the volume is 21.97 Å³/atom.

Cell: 3.6972 4.5078 5.5802 Å, 90.00 109.08 90.00°
Closest atoms and distances in Å follow each position.
Space group Pm (No. 6)
Asymmetric unit:
Y  0.0000  0.0000  0.0000 x1  3 Cu 2.95-2.97, 4 Au 2.99
Y  0.2785  0.5000  0.5602 x1  3 Au 2.94-2.99, 4 Cu 2.98-2.99
Cu  0.7168  0.0000  0.4372 x1  2 Au 2.79, 7 Y 2.95-2.99
Au  0.5629  0.5000  0.1262 x1  2 Cu 2.79, 7 Y 2.94-2.99



No. 10
Y2CuAu: optimized geometry, GGA-PBEsol.

Its raw total energy is -6.021 eV per atom. As for the density of states at the Fermi level: 8.6 states/eV per cell. The crystal system is cubic. The value obtained for the volume is 21.29 Å³/atom.

Cell: 6.9839 6.9839 6.9839 Å, 90.00 90.00 90.00°
Closest atoms and distances in Å follow each position.
Space group Fm-3m (No. 225)
Asymmetric unit:
Y  0.2500  0.2500  0.2500 x8  4 Cu 3.02, 4 Au 3.02
Cu  0.0000  0.0000  0.0000 x4  8 Y 3.02
Au  0.0000  0.0000  0.5000 x4  8 Y 3.02



No. 11
Zn2Cu2Au: optimized geometry, GGA-PBEsol.

Its raw total energy is -3.210 eV per atom. As for the density of states at the Fermi level: 2.9 states/eV per cell. The crystal system is tetragonal. The value obtained for the volume is 13.43 Å³/atom.

Cell: 6.8574 6.8574 2.8562 Å, 90.00 90.00 90.00°
Closest atoms and distances in Å follow each position.
Space group P4/mbm (No. 127)
Asymmetric unit:
Zn  0.1325  0.3675  0.0000 x4  6 Cu 2.44-2.49, 1 Zn 2.57, 2 Au 2.68
Cu  0.1633  0.6633  0.5000 x4  6 Zn 2.44-2.49
Au  0.0000  0.0000  0.0000 x2  4 Zn 2.68, 2 Au 2.86, 8 Cu 2.94



No. 12
ZrCu4Au: optimized geometry, GGA-PBEsol.

Its raw total energy is -5.352 eV per atom. As for the density of states at the Fermi level: 13.9 states/eV per cell. The crystal system is cubic. The value obtained for the volume is 13.54 Å³/atom.

Cell: 6.8750 6.8750 6.8750 Å, 90.00 90.00 90.00°
Closest atoms and distances in Å follow each position.
Space group F-43m (No. 216)
Asymmetric unit:
Zr  0.0000  0.0000  0.0000 x4  12 Cu 2.85, 4 Au 2.98
Cu  0.1246  0.1246  0.3754 x16  6 Cu 2.42-2.44
Au  0.2500  0.2500  0.7500 x4  12 Cu 2.85, 4 Zr 2.98